(1)
! Sr2AlCoS PBE-GGA optimized geometry; values from VASP
&SYSTEM
  ibrav = 0, nat = 5, ntyp = 4
/
ATOMIC_SPECIES
Sr 87.62 Sr.upf
Al 26.98 Al.upf
Co 58.93 Co.upf
S 32.06 S.upf
CELL_PARAMETERS angstrom
5.7873 0.0000 0.0000
0.0000 5.7873 0.0000
0.0000 0.0000 4.1545
ATOMIC_POSITIONS angstrom
Sr 0.0000 2.8937 0.0000
Sr 2.8937 0.0000 0.0000
Al 0.0000 0.0000 2.0773
Co 2.8937 2.8937 2.0773
S 2.8937 2.8937 0.0000
! Space-group type: No. 123
! Energy relative to the elements, uncorrected in eV per atom: -0.393
! Density of states at the Fermi level in states/eV/f.u.: 4.9
! Crystal system: tetragonal



(2)
! BaZr2Br PBE-GGA optimized geometry; values from VASP
&SYSTEM
  ibrav = 0, nat = 4, ntyp = 3
/
ATOMIC_SPECIES
Ba 137.33 Ba.upf
Zr 91.22 Zr.upf
Br 79.90 Br.upf
CELL_PARAMETERS angstrom
4.7794 0.0000 0.0000
0.0000 3.5479 0.0000
-1.4895 0.0000 7.1044
ATOMIC_POSITIONS angstrom
Ba 0.0000 0.0000 0.0000
Zr 0.0449 0.0000 3.4878
Zr 2.4305 1.7739 3.2754
Br 0.9191 1.7739 5.7184
! Space-group type: No. 6
! Energy relative to the elements, uncorrected in eV per atom: -0.120
! Density of states at the Fermi level in states/eV/f.u.: 3.3
! Crystal system: monoclinic
! Distance to the lowest polymorph of the same formula in kJ/mol of atoms: 6.5



(3)
! SrLiCeAu PBE-GGA optimized geometry; values from VASP
&SYSTEM
  ibrav = 0, nat = 4, ntyp = 4
/
ATOMIC_SPECIES
Sr 87.62 Sr.upf
Li 6.94 Li.upf
Ce 140.12 Ce.upf
Au 196.97 Au.upf
CELL_PARAMETERS angstrom
0.0000 3.8036 3.8036
3.8036 0.0000 3.8036
3.8036 3.8036 0.0000
ATOMIC_POSITIONS angstrom
Sr 0.0000 0.0000 0.0000
Li 1.9018 1.9018 1.9018
Ce 3.8036 3.8036 3.8036
Au 5.7054 5.7054 5.7054
! Space-group type: No. 216
! Formation enthalpy at 0 K in eV per atom: -0.200
! Density of states at the Fermi level in states/eV/f.u.: 8.1
! Crystal system: cubic



(4)
! LuThCd PBE-GGA optimized geometry; values from VASP
&SYSTEM
  ibrav = 0, nat = 3, ntyp = 3
/
ATOMIC_SPECIES
Lu 174.97 Lu.upf
Th 232.04 Th.upf
Cd 112.41 Cd.upf
CELL_PARAMETERS angstrom
5.2559 0.0000 0.0000
-2.6279 4.5517 0.0000
0.0000 0.0000 3.6162
ATOMIC_POSITIONS angstrom
Lu 0.0000 0.0000 0.0000
Th 2.6280 1.5172 1.7948
Cd 0.0000 3.0345 3.5730
! Space-group type: No. 156
! Formation enthalpy at 0 K in eV per atom: 0.030
! Density of states at the Fermi level in states/eV/f.u.: 3.1
! Crystal system: trigonal
! Distance to the lowest polymorph of the same formula in kJ/mol of atoms: 15.1



(5)
! LiCaSO4 PBE-GGA optimized geometry; values from VASP
&SYSTEM
  ibrav = 0, nat = 14, ntyp = 4
/
ATOMIC_SPECIES
Li 6.94 Li.upf
Ca 40.08 Ca.upf
S 32.06 S.upf
O 16.00 O.upf
CELL_PARAMETERS angstrom
-3.0837 3.6042 4.0724
3.0837 -3.6042 4.0724
3.0837 3.6042 -4.0724
ATOMIC_POSITIONS angstrom
Li -1.5419 1.8021 2.0362
Li 1.5419 1.8021 2.0362
Ca 0.0000 0.0000 0.0000
Ca 0.0000 3.6042 0.0000
S 3.0837 1.8021 -0.8988
S 0.0000 1.8021 4.9713
O 3.0837 -0.5665 1.7336
O 3.0837 3.0377 -1.7336
O 1.8402 1.8021 -0.0096
O 4.3273 1.8021 -0.0096
O -1.2436 1.8021 4.0820
O 1.2436 1.8021 4.0820
O 0.0000 0.5665 5.8061
O 0.0000 4.1708 2.3388
! Space-group type: No. 74
! Energy relative to the elements, uncorrected in eV per atom: -1.674
! Density of states at the Fermi level in states/eV/f.u.: 0.9
! Crystal system: orthorhombic



(6)
! Sc2CoBr PBE-GGA optimized geometry; values from VASP
&SYSTEM
  ibrav = 0, nat = 4, ntyp = 3
/
ATOMIC_SPECIES
Sc 44.96 Sc.upf
Co 58.93 Co.upf
Br 79.90 Br.upf
CELL_PARAMETERS angstrom
3.2883 0.0000 0.0000
0.0000 3.1890 0.0000
-0.0094 0.0000 7.7328
ATOMIC_POSITIONS angstrom
Sc -0.0018 0.0000 1.5071
Sc 3.2806 0.0000 6.2257
Co 1.6442 1.5945 0.0000
Br -0.0047 1.5945 3.8664
! Space-group type: No. 10
! Energy relative to the elements, uncorrected in eV per atom: -0.584
! Density of states at the Fermi level in states/eV/f.u.: 2.6
! Crystal system: monoclinic
! Distance to the lowest polymorph of the same formula in kJ/mol of atoms: 5.7



no.,electronic total energy (eV/atom)
1,-4.061
2,-5.293
3,-3.402
4,-4.256
5,-5.656
6,-5.944